[1]
# LaAl2TeO8

A relaxed structure of LaAl2TeO8 (PBE, the Alexandria database).

The formation energy without anion corrections is -2510 kJ/mol of formula units.

The space group is C2/m (No. 12) and the conventional cell measures 6.5519, 6.2631 and 7.2044 Å, with angles of 90.00, 94.01 and 90.00 degrees. The distinct sites, in fractional coordinates, are La at (0.0000, 0.0000, 0.0000), Al at (0.0305, 0.5000, 0.6929), Te at (0.0000, 0.0000, 0.5000), O at (0.0096, 0.2029, 0.7036), O at (0.1450, 0.5000, 0.9318) and O at (0.1963, 0.5000, 0.4931).

---

[2]
# La3TiAl2O9

A relaxed structure of La3TiAl2O9 (PBE, the Alexandria database).

The density of states at the Fermi level is 4.92 states/eV/cell. The formation energy without anion corrections is -4674 kJ/mol of formula units.

The space group is P-3m1 (No. 164) and the conventional cell measures 5.4617, 5.4617 and 6.6984 Å, with angles of 90.00, 90.00 and 120.00 degrees. The distinct sites, in fractional coordinates, are La at (0.0000, 0.0000, 0.0000), La at (0.3333, 0.6667, 0.6685), Ti at (0.0000, 0.0000, 0.5000), Al at (0.3333, 0.6667, 0.1610), O at (0.0000, 0.5000, 0.0000) and O at (0.1711, 0.3422, 0.3267).

---

[3]
# La2TiAlO6

A relaxed structure of La2TiAlO6 (PBE, the Alexandria database).

The density of states at the Fermi level is 2.72 states/eV/cell. The formation energy without anion corrections is -3099 kJ/mol of formula units.

The space group is P4/mmm (No. 123) and the conventional cell measures 3.8919, 3.8919 and 7.7922 Å, with angles of 90.00, 90.00 and 90.00 degrees. The distinct sites, in fractional coordinates, are La at (0.0000, 0.0000, 0.2432), Ti at (0.5000, 0.5000, 0.5000), Al at (0.5000, 0.5000, 0.0000), O at (0.0000, 0.5000, 0.0000), O at (0.0000, 0.5000, 0.5000) and O at (0.5000, 0.5000, 0.2393).

---

[4]
# La2AlTlO6

A relaxed structure of La2AlTlO6 (PBE, the Alexandria database).

The density of states at the Fermi level is 0.00 states/eV/cell. The formation energy without anion corrections is -2526 kJ/mol of formula units.

The space group is P2_1/c (No. 14) and the conventional cell measures 5.6585, 5.8499 and 9.8736 Å, with angles of 90.00, 124.64 and 90.00 degrees. The distinct sites, in fractional coordinates, are La at (0.2366, 0.0514, 0.2507), Al at (0.0000, 0.0000, 0.5000), Tl at (0.5000, 0.0000, 0.0000), O at (0.1176, 0.2224, 0.9396), O at (0.2278, 0.6810, 0.9494) and O at (0.3307, 0.0393, 0.7271).

---

[5]
# La4AlTlO

A relaxed structure of La4AlTlO (PBE, the Alexandria database).

The density of states at the Fermi level is 11.86 states/eV/cell. The formation energy without anion corrections is -675 kJ/mol of formula units.

The space group is Cmcm (No. 63) and the conventional cell measures 6.8930, 17.4767 and 6.8858 Å, with angles of 90.00, 90.00 and 90.00 degrees. The distinct sites, in fractional coordinates, are La at (0.0000, 0.0590, 0.2500), La at (0.0000, 0.4206, 0.2500), La at (0.2500, 0.2500, 0.0000), Al at (0.0000, 0.1196, 0.7500), Tl at (0.0000, 0.3910, 0.7500) and O at (0.0000, 0.2764, 0.2500).

---

[6]
# LaUAlO6

A relaxed structure of LaUAlO6 (PBE, the Alexandria database).

The density of states at the Fermi level is 0.00 states/eV/cell. The formation energy without anion corrections is -2768 kJ/mol of formula units.

The space group is P-31c (No. 163) and the conventional cell measures 5.3270, 5.3270 and 10.4134 Å, with angles of 90.00, 90.00 and 120.00 degrees. The distinct sites, in fractional coordinates, are La at (0.0000, 0.0000, 0.0000), U at (0.3333, 0.6667, 0.2500), Al at (0.3333, 0.6667, 0.7500) and O at (0.0209, 0.3748, 0.6453).

---

Q: Number 4 is which compound?
A: La2AlTlO6

---

What did the sixth record say?
# LaUAlO6

A relaxed structure of LaUAlO6 (PBE, the Alexandria database).

The density of states at the Fermi level is 0.00 states/eV/cell. The formation energy without anion corrections is -2768 kJ/mol of formula units.

The space group is P-31c (No. 163) and the conventional cell measures 5.3270, 5.3270 and 10.4134 Å, with angles of 90.00, 90.00 and 120.00 degrees. The distinct sites, in fractional coordinates, are La at (0.0000, 0.0000, 0.0000), U at (0.3333, 0.6667, 0.2500), Al at (0.3333, 0.6667, 0.7500) and O at (0.0209, 0.3748, 0.6453).

---

Q: Which value of formation energy without anion corrections does entry 6 give?
A: -2768 kJ/mol of formula units

---

Q: The lowest formation energy without anion corrections belongs to which entry?
A: La3TiAl2O9